Entry 1:
16
Lattice="10.9249 0.0000 0.0000 0.0000 10.9249 0.0000 0.0000 0.0000 3.0700" Properties=species:S:1:pos:R:3 comment="ReBi, relaxed, DFT PBE" magnetic_moment_mub_per_atom=0.00 total_energy_ev_per_atom=-7.61 relative_energy_kj_per_mol_fu=0 formation_energy_ev_per_atom=0.5573 pbc="T T T"
Re 6.3054 1.2586 0.0000
Re 4.6195 9.6663 0.0000
Re 9.6663 6.3054 0.0000
Re 1.2586 4.6195 0.0000
Re 0.8430 6.7210 1.5350
Re 10.0819 4.2039 1.5350
Re 4.2039 0.8430 1.5350
Re 6.7210 10.0819 1.5350
Bi 1.6059 9.1682 0.0000
Bi 9.3190 1.7567 0.0000
Bi 1.7567 1.6059 0.0000
Bi 9.1682 9.3190 0.0000
Bi 7.0683 3.7057 1.5350
Bi 3.8566 7.2192 1.5350
Bi 7.2192 7.0683 1.5350
Bi 3.7057 3.8566 1.5350


Entry 2:
12
Lattice="-2.5996 3.6101 1.8280 -0.6249 -1.3357 -4.5780 -5.6247 -5.2085 2.2875" Properties=species:S:1:pos:R:3 comment="LiSbP2O8, relaxed, DFT PBE" magnetic_moment_mub_per_atom=0.00 total_energy_ev_per_atom=-6.58 raw_formation_energy_ev_per_atom=-1.87 relative_energy_kj_per_mol_fu=43 pbc="T T T"
Li 0.0000 0.0000 0.0000
Sb -2.8123 -2.6043 1.1437
P -3.4893 0.5281 0.3222
P -5.3599 -3.4622 -0.7847
O -6.4073 -4.4321 -0.3588
O -3.0544 -0.9631 0.0485
O -3.8020 0.6416 1.8639
O -2.4419 1.4980 -0.1037
O -5.0471 -3.5757 -2.3264
O -5.7948 -1.9711 -0.5110
O -4.0000 -3.6937 -0.0201
O -4.8492 0.7596 -0.4424


Please write out number 2 again, unchanged.
12
Lattice="-2.5996 3.6101 1.8280 -0.6249 -1.3357 -4.5780 -5.6247 -5.2085 2.2875" Properties=species:S:1:pos:R:3 comment="LiSbP2O8, relaxed, DFT PBE" magnetic_moment_mub_per_atom=0.00 total_energy_ev_per_atom=-6.58 raw_formation_energy_ev_per_atom=-1.87 relative_energy_kj_per_mol_fu=43 pbc="T T T"
Li 0.0000 0.0000 0.0000
Sb -2.8123 -2.6043 1.1437
P -3.4893 0.5281 0.3222
P -5.3599 -3.4622 -0.7847
O -6.4073 -4.4321 -0.3588
O -3.0544 -0.9631 0.0485
O -3.8020 0.6416 1.8639
O -2.4419 1.4980 -0.1037
O -5.0471 -3.5757 -2.3264
O -5.7948 -1.9711 -0.5110
O -4.0000 -3.6937 -0.0201
O -4.8492 0.7596 -0.4424


- Number 2 is which compound?
  LiSbP2O8